# Th2PaReN5 PBE optimized geometry
data_Th2PaReN5
_chemical_formula_sum 'Th8 Pa4 Re4 N20'
_space_group_name_H-M_alt 'I 4/m c m'
_space_group_IT_number 140
_space_group_name_Hall '-I 4 2c'
_cell_length_a 6.635
_cell_length_b 6.635
_cell_length_c 11.844
_cell_angle_alpha 90.00
_cell_angle_beta 90.00
_cell_angle_gamma 90.00
loop_
_atom_site_label
_atom_site_fract_x
_atom_site_fract_y
_atom_site_fract_z
Th1 0.172 0.328 0.000
Pa1 0.000 0.000 0.250
Re1 0.000 0.500 0.250
N1 0.000 0.000 0.000
N2 0.156 0.344 0.357
# Formation energy from raw total energies in eV/atom: -1.0231